1.
Compound: Ce2Ge4Pd3Au
Source: the Alexandria database
Functional: PBE-GGA
Structure: relaxed

a b c (Å): 4.386 4.386 10.158
angles (deg): 90.00 90.00 90.00
Site moments in Bohr magnetons follow the coordinates.
Sites, in units of the cell vectors:
1 Au 0.500 0.500 0.500  0.00
2 Ge 0.000 0.000 0.000  -0.01
3 Ge 0.500 0.500 0.000  -0.01
4 Ge 0.500 0.000 0.638  0.00
5 Ge 0.000 0.500 0.362  0.00
6 Pd 0.000 0.000 0.500  0.00
7 Pd 0.000 0.500 0.122  -0.01
8 Pd 0.500 0.000 0.878  -0.01
9 Ce 0.500 0.000 0.247  0.64
10 Ce 0.000 0.500 0.753  0.64

As for the volume: 19.5 Å³/atom. The density of states at the Fermi level is 13.022 states/eV/f.u. The value obtained for the magnetic moment is 1.318 Bohr magnetons per cell. As for the calculated formation energy: -7.24 eV/f.u. For the total DFT energy (no corrections), the calculation gives -56.43 eV/cell. Its space group is P-4m2 (115).


2.
Compound: Na2U3TlTe6
Source: the Alexandria database
Functional: PBE-GGA
Structure: relaxed

a b c (Å): 4.404 9.455 10.444
angles (deg): 107.67 102.17 90.00
Site moments in Bohr magnetons follow the coordinates.
Sites, in units of the cell vectors:
1 Te 0.994 0.264 0.988  0.01
2 Te 0.663 0.590 0.326  -0.03
3 Te 0.328 0.929 0.656  -0.06
4 Te 0.337 0.410 0.674  -0.03
5 Te 0.672 0.071 0.344  -0.06
6 Te 0.006 0.736 0.012  0.01
7 U 0.500 0.500 0.000  -2.60
8 U 0.168 0.832 0.337  2.74
9 U 0.832 0.168 0.663  2.74
10 Tl 0.500 0.000 0.000  0.00
11 Na 0.833 0.669 0.666  0.00
12 Na 0.167 0.331 0.334  0.00

As for the volume: 33.7 Å³/atom. The density of states at the Fermi level is 16.927 states/eV/f.u. The value obtained for the raw formation energy is -7.9 eV/f.u. The value obtained for the magnetic moment is 3.235 Bohr magnetons per cell. For the total DFT energy (no corrections), the calculation gives -65.61 eV/cell. Its space group is C2/m (12).